Record 1
Compound: Rb3SmI8
Source: Alexandria via LeMat-Bulk
Functional: PBE
Structure: relaxed

Unit cell a=10.559 b=10.559 c=10.559 alpha=134.12 beta=134.12 gamma=66.90
Fractional coordinates of all 12 atoms:
Rb 0.000 0.000 0.000
Rb 0.250 0.750 0.500
Rb 0.750 0.250 0.500
Sm 0.500 0.500 0.000
I 0.162 0.162 0.547
I 0.162 0.615 0.000
I 0.385 0.385 0.547
I 0.385 0.838 0.000
I 0.615 0.162 0.000
I 0.615 0.615 0.453
I 0.838 0.385 0.000
I 0.838 0.838 0.453

Summary:
formation energy without anion corrections	-1071	meV per atom

=====

Record 2
Compound: Rb2SmI4
Source: Alexandria via LeMat-Bulk
Functional: PBE
Structure: relaxed

Unit cell a=10.292 b=10.292 c=10.292 alpha=145.28 beta=145.28 gamma=49.92
Fractional coordinates of all 7 atoms:
Rb 0.136 0.136 0.000
Rb 0.864 0.864 0.000
Sm 0.500 0.500 0.000
I 0.000 0.500 0.500
I 0.331 0.331 0.000
I 0.500 0.000 0.500
I 0.669 0.669 0.000

Summary:
formation energy without anion corrections	-1296	meV per atom

=====

Record 3
Compound: RbSmI3
Source: Alexandria via LeMat-Bulk
Functional: PBE
Structure: relaxed

Unit cell a=6.174 b=6.174 c=6.174 alpha=90.00 beta=90.00 gamma=90.00
Fractional coordinates of all 5 atoms:
Rb 0.000 0.000 0.000
Sm 0.500 0.500 0.500
I 0.000 0.500 0.500
I 0.500 0.000 0.500
I 0.500 0.500 0.000

Summary:
formation energy without anion corrections	-1230	meV per atom
ΔE to the lowest computed polymorph	96.1	meV per atom

=====

Record 4
Compound: RbSm2I8
Source: Alexandria via LeMat-Bulk
Functional: PBE
Structure: relaxed

Unit cell a=9.196 b=9.196 c=6.239 alpha=90.12 beta=90.12 gamma=115.49
Fractional coordinates of all 11 atoms:
Rb 0.000 0.000 0.000
Sm 0.305 0.695 0.500
Sm 0.695 0.305 0.500
I 0.056 0.326 0.501
I 0.260 0.740 0.000
I 0.326 0.056 0.501
I 0.499 0.499 0.249
I 0.501 0.501 0.751
I 0.674 0.944 0.499
I 0.740 0.260 0.000
I 0.944 0.674 0.499

Summary:
formation energy without anion corrections	-1238	meV per atom

=====

Record 5
Compound: RbSmI4
Source: Alexandria via LeMat-Bulk
Functional: PBE
Structure: relaxed

Unit cell a=9.426 b=9.426 c=7.632 alpha=106.43 beta=106.43 gamma=110.98
Fractional coordinates of all 12 atoms:
Rb 0.135 0.865 0.750
Rb 0.865 0.135 0.250
Sm 0.500 0.500 0.250
Sm 0.500 0.500 0.750
I 0.169 0.297 0.813
I 0.237 0.553 0.427
I 0.297 0.169 0.313
I 0.447 0.763 0.073
I 0.553 0.237 0.927
I 0.703 0.831 0.687
I 0.763 0.447 0.573
I 0.831 0.703 0.187

Summary:
formation energy without anion corrections	-1386	meV per atom
ΔE to the lowest computed polymorph	53.1	meV per atom

=====

Record 6
Compound: RbSm2I7
Source: Alexandria via LeMat-Bulk
Functional: PBE
Structure: relaxed

Unit cell a=9.379 b=9.379 c=6.150 alpha=90.00 beta=90.00 gamma=116.19
Fractional coordinates of all 10 atoms:
Rb 0.000 0.000 0.000
Sm 0.302 0.698 0.500
Sm 0.698 0.302 0.500
I 0.049 0.326 0.500
I 0.296 0.704 0.000
I 0.326 0.049 0.500
I 0.500 0.500 0.500
I 0.674 0.951 0.500
I 0.704 0.296 0.000
I 0.951 0.674 0.500

Summary:
formation energy without anion corrections	-1370	meV per atom

=====

Record 7
Compound: Rb4SmI7
Source: Alexandria via LeMat-Bulk
Functional: PBE
Structure: relaxed

Unit cell a=9.764 b=9.764 c=12.490 alpha=104.85 beta=104.85 gamma=36.79
Fractional coordinates of all 12 atoms:
Rb 0.014 0.014 0.206
Rb 0.257 0.257 0.836
Rb 0.743 0.743 0.164
Rb 0.986 0.986 0.794
Sm 0.500 0.500 0.500
I 0.000 0.000 0.500
I 0.145 0.145 0.039
I 0.379 0.379 0.276
I 0.383 0.383 0.635
I 0.617 0.617 0.365
I 0.621 0.621 0.724
I 0.855 0.855 0.961

Summary:
formation energy without anion corrections	-1444	meV per atom

=====

Record 8
Compound: RbSmI4
Source: Alexandria via LeMat-Bulk
Functional: PBE
Structure: relaxed

Unit cell a=10.717 b=10.717 c=8.025 alpha=98.93 beta=98.93 gamma=118.93
Fractional coordinates of all 12 atoms:
Rb 0.231 0.769 0.750
Rb 0.769 0.231 0.250
Sm 0.066 0.934 0.250
Sm 0.934 0.066 0.750
I 0.006 0.365 0.700
I 0.107 0.222 0.145
I 0.222 0.107 0.645
I 0.365 0.006 0.200
I 0.635 0.994 0.800
I 0.778 0.893 0.355
I 0.893 0.778 0.855
I 0.994 0.635 0.300

Summary:
formation energy without anion corrections	-1439	meV per atom
ΔE to the lowest computed polymorph	0.0	meV per atom

=====

Record 9
Compound: RbSmI3
Source: Alexandria via LeMat-Bulk
Functional: PBE
Structure: relaxed

Unit cell a=8.736 b=8.736 c=6.933 alpha=90.00 beta=90.00 gamma=120.00
Fractional coordinates of all 10 atoms:
Rb 0.333 0.667 0.250
Rb 0.667 0.333 0.750
Sm 0.000 0.000 0.000
Sm 0.000 0.000 0.500
I 0.175 0.350 0.750
I 0.175 0.825 0.750
I 0.350 0.175 0.250
I 0.650 0.825 0.750
I 0.825 0.175 0.250
I 0.825 0.650 0.250

Summary:
formation energy without anion corrections	-1326	meV per atom
ΔE to the lowest computed polymorph	0.0	meV per atom

=====

Record 10
Compound: Rb2SmI6
Source: Alexandria via LeMat-Bulk
Functional: PBE
Structure: relaxed

Unit cell a=4.877 b=9.524 c=9.524 alpha=120.07 beta=90.00 gamma=90.00
Fractional coordinates of all 9 atoms:
Rb 0.000 0.167 0.833
Rb 0.000 0.833 0.167
Sm 0.500 0.500 0.500
I 0.000 0.267 0.500
I 0.000 0.500 0.267
I 0.000 0.734 0.734
I 0.500 0.144 0.144
I 0.500 0.500 0.857
I 0.500 0.857 0.500

Summary:
formation energy without anion corrections	-1181	meV per atom

=====

Record 11
Compound: RbSmI3
Source: Alexandria via LeMat-Bulk
Functional: PBE
Structure: relaxed

Unit cell a=8.649 b=8.649 c=11.982 alpha=90.00 beta=90.00 gamma=151.88
Fractional coordinates of all 10 atoms:
Rb 0.242 0.758 0.750
Rb 0.758 0.242 0.250
Sm 0.500 0.500 0.000
Sm 0.500 0.500 0.500
I 0.137 0.863 0.053
I 0.137 0.863 0.447
I 0.443 0.557 0.250
I 0.557 0.443 0.750
I 0.863 0.137 0.553
I 0.863 0.137 0.947

Summary:
formation energy without anion corrections	-1280	meV per atom
ΔE to the lowest computed polymorph	45.1	meV per atom

=====

Record 12
Compound: RbSmSn2I8
Source: Alexandria via LeMat-Bulk
Functional: PBE
Structure: relaxed

Unit cell a=7.378 b=7.862 c=9.760 alpha=89.88 beta=89.85 gamma=88.83
Fractional coordinates of all 12 atoms:
Rb 0.000 0.000 0.000
Sm 0.000 0.000 0.500
Sn 0.500 0.500 0.249
Sn 0.500 0.500 0.751
I 0.240 0.328 0.500
I 0.255 0.842 0.719
I 0.256 0.842 0.281
I 0.270 0.377 0.001
I 0.730 0.623 0.999
I 0.744 0.158 0.719
I 0.745 0.158 0.281
I 0.760 0.672 0.500

Summary:
formation energy without anion corrections	-924	meV per atom

=====

Record 13
Compound: RbSrSmI6
Source: Alexandria via LeMat-Bulk
Functional: PBE
Structure: relaxed

Unit cell a=8.317 b=8.317 c=15.929 alpha=90.00 beta=90.00 gamma=120.00
Fractional coordinates of all 18 atoms:
Rb 0.000 0.000 0.000
Rb 0.000 0.000 0.500
Sr 0.333 0.667 0.250
Sr 0.667 0.333 0.750
Sm 0.333 0.667 0.750
Sm 0.667 0.333 0.250
I 0.018 0.379 0.635
I 0.018 0.639 0.865
I 0.361 0.379 0.865
I 0.361 0.982 0.635
I 0.379 0.018 0.135
I 0.379 0.361 0.365
I 0.621 0.639 0.635
I 0.621 0.982 0.865
I 0.639 0.018 0.365
I 0.639 0.621 0.135
I 0.982 0.361 0.135
I 0.982 0.621 0.365

Summary:
formation energy without anion corrections	-1538	meV per atom

=====

Record 14
Compound: Rb2SmTlI6
Source: Alexandria via LeMat-Bulk
Functional: PBE
Structure: relaxed

Unit cell a=9.092 b=9.092 c=9.092 alpha=58.78 beta=58.78 gamma=58.78
Fractional coordinates of all 10 atoms:
Rb 0.000 0.000 0.000
Rb 0.491 0.491 0.491
Sm 0.704 0.704 0.704
Tl 0.210 0.210 0.210
I 0.035 0.465 0.839
I 0.366 0.918 0.576
I 0.465 0.839 0.035
I 0.576 0.366 0.918
I 0.839 0.035 0.465
I 0.918 0.576 0.366

Summary:
formation energy without anion corrections	-1302	meV per atom

=====

Record 15
Compound: RbSnI3
Source: Alexandria via LeMat-Bulk
Functional: PBE
Structure: relaxed

Unit cell a=4.827 b=9.227 c=9.227 alpha=66.01 beta=90.00 gamma=90.00
Fractional coordinates of all 5 atoms:
Rb 0.000 0.000 0.000
Sn 0.500 0.356 0.356
I 0.000 0.148 0.576
I 0.000 0.576 0.148
I 0.500 0.167 0.167

Summary:
formation energy without anion corrections	-811	meV per atom

=====

Record 16
Compound: Rb2SnI7
Source: Alexandria via LeMat-Bulk
Functional: PBE
Structure: relaxed

Unit cell a=8.883 b=8.883 c=8.883 alpha=119.09 beta=119.09 gamma=91.58
Fractional coordinates of all 10 atoms:
Rb 0.250 0.750 0.500
Rb 0.750 0.250 0.500
Sn 0.000 0.000 0.000
I 0.231 0.231 0.463
I 0.231 0.769 0.000
I 0.238 0.238 0.000
I 0.500 0.500 0.000
I 0.762 0.762 0.000
I 0.769 0.231 0.000
I 0.769 0.769 0.537

Summary:
formation energy without anion corrections	-682	meV per atom

=====

Record 17
Compound: Rb3Sn4I12
Source: Alexandria via LeMat-Bulk
Functional: PBE
Structure: relaxed

Unit cell a=10.626 b=10.626 c=10.626 alpha=109.47 beta=109.47 gamma=109.47
Fractional coordinates of all 19 atoms:
Rb 0.000 0.500 0.500
Rb 0.500 0.000 0.500
Rb 0.500 0.500 0.000
Sn 0.000 0.000 0.500
Sn 0.000 0.500 0.000
Sn 0.500 0.000 0.000
Sn 0.500 0.500 0.500
I 0.065 0.779 0.285
I 0.221 0.285 0.506
I 0.221 0.715 0.935
I 0.285 0.065 0.779
I 0.285 0.506 0.221
I 0.494 0.779 0.715
I 0.506 0.221 0.285
I 0.715 0.494 0.779
I 0.715 0.935 0.221
I 0.779 0.285 0.065
I 0.779 0.715 0.494
I 0.935 0.221 0.715

Summary:
formation energy without anion corrections	-778	meV per atom

=====

Record 18
Compound: RbSnI3
Source: Alexandria via LeMat-Bulk
Functional: PBE
Structure: relaxed

Unit cell a=11.032 b=11.032 c=7.796 alpha=92.99 beta=92.99 gamma=96.90
Fractional coordinates of all 20 atoms:
Rb 0.072 0.249 0.072
Rb 0.249 0.072 0.572
Rb 0.751 0.928 0.428
Rb 0.928 0.751 0.928
Sn 0.272 0.728 0.250
Sn 0.430 0.570 0.750
Sn 0.570 0.430 0.250
Sn 0.728 0.272 0.750
I 0.034 0.770 0.430
I 0.173 0.562 0.907
I 0.230 0.966 0.070
I 0.300 0.444 0.398
I 0.438 0.827 0.593
I 0.444 0.300 0.898
I 0.556 0.700 0.102
I 0.562 0.173 0.407
I 0.700 0.556 0.602
I 0.770 0.034 0.930
I 0.827 0.438 0.093
I 0.966 0.230 0.570

Summary:
formation energy without anion corrections	-883	meV per atom

=====

Record 19
Compound: RbSnI3
Source: Alexandria via LeMat-Bulk
Functional: PBE
Structure: relaxed

Unit cell a=7.203 b=7.203 c=11.411 alpha=90.00 beta=90.00 gamma=79.28
Fractional coordinates of all 10 atoms:
Rb 0.202 0.798 0.750
Rb 0.798 0.202 0.250
Sn 0.344 0.656 0.250
Sn 0.656 0.344 0.750
I 0.068 0.319 0.750
I 0.319 0.068 0.250
I 0.500 0.500 0.000
I 0.500 0.500 0.500
I 0.681 0.932 0.750
I 0.932 0.681 0.250

Summary:
formation energy without anion corrections	-832	meV per atom

=====

Record 20
Compound: Rb4Sn3I10
Source: Alexandria via LeMat-Bulk
Functional: PBE
Structure: relaxed

Unit cell a=6.263 b=6.263 c=22.139 alpha=98.05 beta=98.05 gamma=89.78
Fractional coordinates of all 17 atoms:
Rb 0.062 0.062 0.131
Rb 0.197 0.197 0.395
Rb 0.803 0.803 0.605
Rb 0.938 0.938 0.869
Sn 0.353 0.353 0.705
Sn 0.500 0.500 0.000
Sn 0.647 0.647 0.295
I 0.000 0.500 0.000
I 0.143 0.643 0.287
I 0.284 0.284 0.565
I 0.357 0.857 0.713
I 0.427 0.427 0.856
I 0.500 0.000 0.000
I 0.573 0.573 0.144
I 0.643 0.143 0.287
I 0.716 0.716 0.435
I 0.857 0.357 0.713

Summary:
formation energy without anion corrections	-952	meV per atom